The following is a PBE calculation of Y2ZnCl after structural relaxation, from Alexandria.

## Properties
* spin magnetization: 0.00 μB per cell
* uncorrected energy: -57.4 eV for the cell shown
* uncorrected formation energy: -0.77 eV per atom

Unit cell a=3.6265 b=3.6265 c=25.2883 alpha=90.00 beta=90.00 gamma=120.00
Space group R3m (No. 160, hexagonal axes)
Symmetry-distinct sites (fractional):
1 Y 0.0000 0.0000 0.0000
2 Y 0.0000 0.0000 0.1684
3 Zn 0.0000 0.0000 0.5839
4 Cl 0.0000 0.0000 0.7519

The following is a PBE calculation of Y2ZnCl after structural relaxation, from Alexandria.

## Properties
* spin magnetization: 0.00 μB per cell
* uncorrected energy: -72.7 eV for the cell shown
* uncorrected formation energy: -0.53 eV per atom

Unit cell a=7.2221 b=7.2221 c=7.2221 alpha=90.00 beta=90.00 gamma=90.00
Space group Fm-3m (No. 225)
Symmetry-distinct sites (fractional):
1 Y 0.2500 0.2500 0.2500
2 Zn 0.0000 0.0000 0.0000
3 Cl 0.0000 0.0000 0.5000

The following is a PBE calculation of Y2ZnCl after structural relaxation, from Alexandria.

## Properties
* spin magnetization: 0.00 μB per cell
* uncorrected energy: -36.7 eV for the cell shown
* uncorrected formation energy: -0.58 eV per atom

Unit cell a=4.1592 b=6.0129 c=7.8990 alpha=90.00 beta=90.00 gamma=90.00
Space group Immm (No. 71)
Symmetry-distinct sites (fractional):
1 Y 0.0000 0.0000 0.2317
2 Zn 0.0000 0.5000 0.0000
3 Cl 0.0000 0.5000 0.5000

The following is a PBE calculation of Y2ZnCl after structural relaxation, from Alexandria.

## Properties
* spin magnetization: 2.56 μB per cell
* uncorrected energy: -55.3 eV for the cell shown
* uncorrected formation energy: -0.60 eV per atom

Unit cell a=3.6603 b=3.6603 c=29.9473 alpha=90.00 beta=90.00 gamma=120.00
Space group R3m (No. 160, hexagonal axes)
Symmetry-distinct sites (fractional):
1 Y 0.0000 0.0000 0.0000
2 Y 0.0000 0.0000 0.2394
3 Zn 0.0000 0.0000 0.4999
4 Cl 0.0000 0.0000 0.7281

The following is a PBE calculation of YZn3Cl after structural relaxation, from Alexandria.

## Properties
* spin magnetization: 0.00 μB per cell
* uncorrected energy: -9.5 eV for the cell shown
* uncorrected formation energy: 0.52 eV per atom

Unit cell a=5.8362 b=5.8362 c=5.8362 alpha=90.00 beta=90.00 gamma=90.00
Space group Pm-3m (No. 221)
Symmetry-distinct sites (fractional):
1 Y 0.0000 0.0000 0.0000
2 Zn 0.0000 0.0000 0.5000
3 Cl 0.5000 0.5000 0.5000

The following is a PBE calculation of YZn4Cl after structural relaxation, from Alexandria.

## Properties
* spin magnetization: 0.00 μB per cell
* uncorrected energy: -57.3 eV for the cell shown
* uncorrected formation energy: -0.15 eV per atom

Unit cell a=7.7908 b=7.7908 c=7.7908 alpha=90.00 beta=90.00 gamma=90.00
Space group F-43m (No. 216)
Symmetry-distinct sites (fractional):
1 Y 0.0000 0.0000 0.0000
2 Zn 0.1265 0.1265 0.6265
3 Cl 0.2500 0.2500 0.2500

The following is a PBE calculation of YZnCl3 after structural relaxation, from Alexandria.

## Properties
* spin magnetization: 0.00 μB per cell
* uncorrected energy: -20.9 eV for the cell shown
* uncorrected formation energy: -1.53 eV per atom

Unit cell a=5.3338 b=5.3338 c=5.3338 alpha=90.00 beta=90.00 gamma=90.00
Space group Pm-3m (No. 221)
Symmetry-distinct sites (fractional):
1 Y 0.0000 0.0000 0.0000
2 Zn 0.5000 0.5000 0.5000
3 Cl 0.0000 0.0000 0.5000

The following is a PBE calculation of YZnCl after structural relaxation, from Alexandria.

## Properties
* spin magnetization: 0.00 μB per cell
* uncorrected energy: -12.0 eV for the cell shown
* uncorrected formation energy: -0.82 eV per atom

Unit cell a=3.6518 b=3.6518 c=7.6320 alpha=90.00 beta=90.00 gamma=120.00
Space group P3m1 (No. 156)
Symmetry-distinct sites (fractional):
1 Y 0.0000 0.0000 0.0000
2 Zn 0.6667 0.3333 0.2693
3 Cl 0.3333 0.6667 0.7644

The following is a PBE calculation of YZnCl4 after structural relaxation, from Alexandria.

## Properties
* spin magnetization: 4.16 μB per cell
* uncorrected energy: -66.4 eV for the cell shown
* uncorrected formation energy: -0.25 eV per atom

Unit cell a=8.2660 b=8.2660 c=8.2660 alpha=90.00 beta=90.00 gamma=90.00
Space group F-43m (No. 216)
Symmetry-distinct sites (fractional):
1 Y 0.0000 0.0000 0.0000
2 Zn 0.2500 0.2500 0.7500
3 Cl 0.1254 0.1254 0.3746

The following is a PBE calculation of YZnCl after structural relaxation, from Alexandria.

## Properties
* spin magnetization: 0.00 μB per cell
* uncorrected energy: -43.9 eV for the cell shown
* uncorrected formation energy: -0.46 eV per atom

Unit cell a=6.5628 b=6.5628 c=6.5628 alpha=90.00 beta=90.00 gamma=90.00
Space group F-43m (No. 216)
Symmetry-distinct sites (fractional):
1 Y 0.0000 0.0000 0.0000
2 Zn 0.0000 0.0000 0.5000
3 Cl 0.2500 0.2500 0.7500

The following is a PBE calculation of YZnCl after structural relaxation, from Alexandria.

## Properties
* spin magnetization: 0.00 μB per cell
* uncorrected energy: -23.6 eV for the cell shown
* uncorrected formation energy: -0.74 eV per atom

Unit cell a=3.5059 b=3.5059 c=13.2934 alpha=90.00 beta=90.00 gamma=90.00
Space group I4mm (No. 107)
Symmetry-distinct sites (fractional):
1 Y 0.0000 0.0000 0.0000
2 Zn 0.0000 0.0000 0.6319
3 Cl 0.0000 0.0000 0.3851

The following is a PBE calculation of Y2ZnCl after structural relaxation, from Alexandria.

## Properties
* spin magnetization: 0.00 μB per cell
* uncorrected energy: -18.4 eV for the cell shown
* uncorrected formation energy: -0.58 eV per atom

Unit cell a=3.5077 b=3.5077 c=9.7026 alpha=90.00 beta=90.00 gamma=90.00
Space group P4mm (No. 99)
Symmetry-distinct sites (fractional):
1 Y 0.0000 0.0000 0.0000
2 Y 0.5000 0.5000 0.2722
3 Zn 0.0000 0.0000 0.4492
4 Cl 0.5000 0.5000 0.8390

The following is a PBE calculation of Y2ZnCl after structural relaxation, from Alexandria.

## Properties
* spin magnetization: 0.01 μB per cell
* uncorrected energy: -37.0 eV for the cell shown
* uncorrected formation energy: -0.61 eV per atom

Unit cell a=7.5287 b=7.6304 c=3.3563 alpha=90.00 beta=102.62 gamma=90.00
Space group C2/m (No. 12)
Symmetry-distinct sites (fractional):
1 Y 0.2500 0.2500 0.0000
2 Zn 0.0000 0.0000 0.5000
3 Cl 0.0000 0.5000 0.5000

The following is a PBE calculation of Y3ZnCl after structural relaxation, from Alexandria.

## Properties
* spin magnetization: 0.00 μB per cell
* uncorrected energy: -24.3 eV for the cell shown
* uncorrected formation energy: -0.36 eV per atom

Unit cell a=5.1134 b=5.1134 c=5.1134 alpha=90.00 beta=90.00 gamma=90.00
Space group Pm-3m (No. 221)
Symmetry-distinct sites (fractional):
1 Y 0.0000 0.0000 0.5000
2 Zn 0.5000 0.5000 0.5000
3 Cl 0.0000 0.0000 0.0000

The following is a PBE calculation of Y2ZnCl after structural relaxation, from Alexandria.

## Properties
* spin magnetization: 0.00 μB per cell
* uncorrected energy: -17.8 eV for the cell shown
* uncorrected formation energy: -0.44 eV per atom

Unit cell a=3.5335 b=4.7056 c=6.3095 alpha=90.00 beta=90.00 gamma=90.00
Space group Pmmm (No. 47)
Symmetry-distinct sites (fractional):
1 Y 0.0000 0.0000 0.0000
2 Y 0.5000 0.0000 0.5000
3 Zn 0.0000 0.5000 0.5000
4 Cl 0.5000 0.5000 0.0000

The following is a PBE calculation of YZn3Cl after structural relaxation, from Alexandria.

## Properties
* spin magnetization: 0.00 μB per cell
* uncorrected energy: -10.4 eV for the cell shown
* uncorrected formation energy: 0.35 eV per atom

Unit cell a=4.9864 b=4.9864 c=4.9864 alpha=90.00 beta=90.00 gamma=90.00
Space group Pm-3m (No. 221)
Symmetry-distinct sites (fractional):
1 Y 0.0000 0.0000 0.0000
2 Zn 0.0000 0.5000 0.5000
3 Cl 0.5000 0.5000 0.5000

The following is a PBE calculation of Y2ZnCl after structural relaxation, from Alexandria.

## Properties
* spin magnetization: 0.33 μB per cell
* uncorrected energy: -37.7 eV for the cell shown
* uncorrected formation energy: -0.70 eV per atom

Unit cell a=4.8064 b=3.4700 c=11.3328 alpha=90.00 beta=90.00 gamma=90.00
Space group Amm2 (No. 38)
Symmetry-distinct sites (fractional):
1 Y 0.0000 0.0000 0.0000
2 Y 0.5000 0.0000 0.2644
3 Zn 0.0000 0.0000 0.7398
4 Cl 0.5000 0.0000 0.5060

The following is a PBE calculation of YZnCl after structural relaxation, from Alexandria.

## Properties
* spin magnetization: 0.00 μB per cell
* uncorrected energy: -50.9 eV for the cell shown
* uncorrected formation energy: -1.05 eV per atom

Unit cell a=6.7041 b=3.8728 c=12.4789 alpha=90.00 beta=100.09 gamma=90.00
Space group C2/m (No. 12)
Symmetry-distinct sites (fractional):
1 Y 0.0966 0.0000 0.2854
2 Zn 0.1842 0.0000 0.5532
3 Cl 0.1141 0.5000 0.8502

The following is a PBE calculation of Y2ZnCl after structural relaxation, from Alexandria.

## Properties
* spin magnetization: 0.00 μB per cell
* uncorrected energy: -18.7 eV for the cell shown
* uncorrected formation energy: -0.67 eV per atom

Unit cell a=3.4211 b=3.4211 c=7.9955 alpha=90.00 beta=90.00 gamma=90.00
Space group P4/mmm (No. 123)
Symmetry-distinct sites (fractional):
1 Y 0.0000 0.0000 0.2264
2 Zn 0.5000 0.5000 0.0000
3 Cl 0.5000 0.5000 0.5000

The following is a PBE calculation of Y4ZnCl after structural relaxation, from Alexandria.

## Properties
* spin magnetization: 0.01 μB per cell
* uncorrected energy: -106.7 eV for the cell shown
* uncorrected formation energy: 0.39 eV per atom

Unit cell a=9.0751 b=9.0751 c=9.0751 alpha=90.00 beta=90.00 gamma=90.00
Space group F-43m (No. 216)
Symmetry-distinct sites (fractional):
1 Y 0.1232 0.1232 0.1232
2 Zn 0.2500 0.2500 0.7500
3 Cl 0.0000 0.0000 0.5000